This record from the Alexandria database describes an optimized crystal structure of BeGaAg3. The functional is GGA-PBE.

abc: 4.506 4.506 4.506
angles: 90.00 90.00 90.00
Fractional positions:
Be 0.000 0.000 0.000
Ga 0.500 0.500 0.500
Ag 0.000 0.000 0.500
Ag 0.000 0.500 0.000
Ag 0.500 0.000 0.000

Calculated total energy = -2.6877 eV/atom
Energy relative to the elements = 0.374 eV/atom
Magnetization = 0.00 μB/f.u.
Offset from the most stable computed form = 0 meV per atom